[1]
A relaxed Cs3TeOs crystal, computed with PBE.

The space group is Pm-3m (No. 221) and the conventional cell measures 5.869, 5.869 and 5.869 Å, with angles of 90.00, 90.00 and 90.00 degrees. Symmetry generates all atoms from Cs at (0.000, 0.000, 0.500), Te at (0.500, 0.500, 0.500) and Os at (0.000, 0.000, 0.000).

The value obtained for the energy above the most stable polymorph in this dataset is 0.000 eV/atom. The formation energy (no corrections) is 0.72 eV/atom. The final energy is -2.669 eV/atom.

[2]
A relaxed Cs2TiTeOs crystal, computed with PBE.

The space group is P4/mmm (No. 123) and the conventional cell measures 6.912, 6.912 and 4.514 Å, with angles of 90.00, 90.00 and 90.00 degrees. Symmetry generates all atoms from Cs at (0.000, 0.500, 0.000), Ti at (0.000, 0.000, 0.500), Te at (0.500, 0.500, 0.500) and Os at (0.000, 0.000, 0.000).

The formation energy (no corrections) is 0.72 eV/atom. The final energy is -4.079 eV/atom.

[3]
A relaxed CsTiOs3 crystal, computed with PBE.

The space group is Pm-3m (No. 221) and the conventional cell measures 4.825, 4.825 and 4.825 Å, with angles of 90.00, 90.00 and 90.00 degrees. Symmetry generates all atoms from Cs at (0.000, 0.000, 0.000), Ti at (0.500, 0.500, 0.500) and Os at (0.000, 0.500, 0.500).

The value obtained for the energy above the most stable polymorph in this dataset is 0.000 eV/atom. The final energy is -6.410 eV/atom.

[4]
A relaxed Cs2Ti2Os crystal, computed with PBE.

The space group is P4/mbm (No. 127) and the conventional cell measures 6.655, 6.655 and 6.798 Å, with angles of 90.00, 90.00 and 90.00 degrees. Symmetry generates all atoms from Cs at (0.186, 0.314, 0.000), Ti at (0.178, 0.678, 0.500) and Os at (0.000, 0.000, 0.500).

The final energy is -4.902 eV/atom.

no.,Fermi-level density of states (states/eV per atom)
1,1.165
2,0.889
3,1.276
4,1.108